VASP calculation (PBE) on crystalline Ir2PtRh at its relaxed geometry.

Cell: 5.4513 5.4513 2.7213 Å, 104.11 104.11 120.96°
Element x y z (fractional)
Ir1 0.0000 0.5000 0.0000
Ir2 0.5000 0.0000 0.0000
Pt1 0.0000 0.0000 0.0000
Rh1 0.5000 0.5000 0.0000

DOS(E_F): 5.34 states/eV per cell
Formation energy from the elements: 213.5 meV/atom
Space group: C2/m
Uncorrected energy: -0.556 Ry per atom
V: 60.3 Å³/cell

---

VASP calculation (PBE) on crystalline IrPt2Rh at its relaxed geometry.

Cell: 2.7726 3.9001 5.5458 Å, 90.00 90.11 90.00°
Element x y z (fractional)
Ir1 0.0000 0.0000 0.0000
Pt1 0.0013 0.0000 0.4902
Pt2 0.4997 0.5000 0.7495
Rh1 0.5012 0.5000 0.2357

DOS(E_F): 5.39 states/eV per cell
Formation energy from the elements: 6.7 meV/atom
Space group: Pm
Uncorrected energy: -0.519 Ry per atom
V: 60.0 Å³/cell

---

VASP calculation (PBE) on crystalline IrPt2Rh at its relaxed geometry.

Cell: 3.9099 3.9099 7.8520 Å, 90.00 90.00 90.00°
Element x y z (fractional)
Ir1 0.2500 0.7500 0.0000
Ir2 0.7500 0.2500 0.0000
Pt1 0.2500 0.2500 0.2424
Pt2 0.2500 0.7500 0.5000
Pt3 0.7500 0.2500 0.5000
Pt4 0.7500 0.7500 0.7576
Rh1 0.2500 0.2500 0.7605
Rh2 0.7500 0.7500 0.2395

DOS(E_F): 11.90 states/eV per cell
Formation energy from the elements: -14.5 meV/atom
Space group: P4/nmm
Uncorrected energy: -0.521 Ry per atom
V: 120.0 Å³/cell

---

> Look up the formation energy from the elements of the second one.

6.7 meV/atom

---

> Look up the uncorrected energy of the first one.

-0.556 Ry per atom